# 1
A relaxed structure of PrHo3Tl2. Source: the Alexandria database, functional GGA-PBE.

Values from the calculation:
**Polymorph energy (0 for the lowest one)**: 0 meV/atom
**M_tot**: 0.00 μB/cell
**N(E_F)**: 12.0 states/eV per cell
**Formation enthalpy at 0 K**: -0.2639 eV per atom

Unit cell a=5.136 b=10.066 c=6.839 alpha=90.00 beta=90.00 gamma=90.00
Fractional positions:
Pr1 0.000 0.043 0.000
Pr2 0.000 0.957 0.500
Ho1 0.000 0.318 0.617
Ho2 0.000 0.682 0.117
Ho3 0.500 0.194 0.277
Ho4 0.500 0.455 0.904
Ho5 0.500 0.545 0.404
Ho6 0.500 0.806 0.777
Tl1 0.000 0.369 0.158
Tl2 0.000 0.631 0.658
Tl3 0.500 0.139 0.735
Tl4 0.500 0.861 0.235

***

# 2
A relaxed structure of La2Nd5SmSc. Source: the Alexandria database, functional GGA-PBE.

Values from the calculation:
**M_tot**: 0.00 μB/cell
**N(E_F)**: 27.9 states/eV per cell
**Formation enthalpy at 0 K**: 0.1123 eV per atom

Unit cell a=11.416 b=11.416 c=10.272 alpha=90.00 beta=90.00 gamma=152.06
Fractional positions:
La1 0.117 0.883 0.500
La2 0.117 0.883 0.986
La3 0.883 0.117 0.000
La4 0.883 0.117 0.486
Nd1 0.000 0.000 0.243
Nd2 0.000 0.000 0.743
Nd3 0.276 0.724 0.556
Nd4 0.276 0.724 0.931
Nd5 0.373 0.627 0.243
Nd6 0.500 0.500 0.493
Nd7 0.500 0.500 0.993
Nd8 0.627 0.373 0.743
Nd9 0.724 0.276 0.056
Nd10 0.724 0.276 0.431
Sm1 0.397 0.603 0.743
Sm2 0.603 0.397 0.243
Sc1 0.214 0.786 0.243
Sc2 0.786 0.214 0.743

***

# 3
A relaxed structure of CsBiPt3. Source: the Alexandria database, functional GGA-PBE.

Values from the calculation:
**Polymorph energy (0 for the lowest one)**: 0 meV/atom
**M_tot**: 0.00 μB/cell
**N(E_F)**: 9.3 states/eV per cell
**Formation enthalpy at 0 K**: 0.5748 eV per atom

Unit cell a=5.292 b=5.292 c=5.292 alpha=90.00 beta=90.00 gamma=90.00
Fractional positions:
Cs1 0.000 0.000 0.000
Bi1 0.500 0.500 0.500
Pt1 0.000 0.500 0.500
Pt2 0.500 0.000 0.500
Pt3 0.500 0.500 0.000

***

# 4
A relaxed structure of Y3ErAg4. Source: the Alexandria database, functional GGA-PBE.

Values from the calculation:
**M_tot**: 0.00 μB/cell
**N(E_F)**: 5.9 states/eV per cell
**Formation enthalpy at 0 K**: -0.3299 eV per atom

Unit cell a=3.633 b=3.633 c=14.567 alpha=90.00 beta=90.00 gamma=90.00
Fractional positions:
Y1 0.000 0.000 0.000
Y2 0.000 0.000 0.252
Y3 0.000 0.000 0.748
Er1 0.000 0.000 0.500
Ag1 0.500 0.500 0.125
Ag2 0.500 0.500 0.379
Ag3 0.500 0.500 0.621
Ag4 0.500 0.500 0.875

***

# 5
A relaxed structure of Li2La3Au4. Source: the Alexandria database, functional GGA-PBE.

Values from the calculation:
**M_tot**: 0.00 μB/cell
**N(E_F)**: 9.1 states/eV per cell
**Formation enthalpy at 0 K**: -0.6801 eV per atom

Unit cell a=6.090 b=6.090 c=9.061 alpha=112.60 beta=112.60 gamma=44.50
Fractional positions:
Li1 0.164 0.164 0.334
Li2 0.836 0.836 0.666
La1 0.144 0.144 0.689
La2 0.500 0.500 0.000
La3 0.856 0.856 0.311
Au1 0.213 0.213 0.071
Au2 0.420 0.420 0.601
Au3 0.580 0.580 0.399
Au4 0.787 0.787 0.929

***

# 6
A relaxed structure of LiHfAl. Source: the Alexandria database, functional GGA-PBE.

Values from the calculation:
**Polymorph energy (0 for the lowest one)**: 102 meV/atom
**M_tot**: 0.00 μB/cell
**N(E_F)**: 2.2 states/eV per cell
**Formation enthalpy at 0 K**: -0.0724 eV per atom

Unit cell a=6.228 b=6.228 c=6.340 alpha=105.14 beta=105.14 gamma=28.43
Fractional positions:
Li1 0.152 0.152 0.333
Li2 0.848 0.848 0.667
Hf1 0.163 0.163 0.834
Hf2 0.837 0.837 0.166
Al1 0.500 0.500 0.000
Al2 0.500 0.500 0.500